Material: Tm2Zn3Au2
Method: DFT, PBE
State: optimized geometry

## Properties
Formation enthalpy at 0 K   -506 meV/atom
Offset from the most stable computed form   69.1 meV/atom

Cell: 3.728 7.675 9.840 Å, 90.00 100.92 90.00°
Sites, in units of the cell vectors:
Tm 0.153 0.250 0.306
Tm 0.931 0.250 0.862
Tm 0.069 0.750 0.138
Tm 0.847 0.750 0.694
Zn 0.449 0.913 0.898
Zn 0.449 0.587 0.898
Zn 0.767 0.250 0.534
Zn 0.551 0.413 0.102
Zn 0.233 0.750 0.466
Zn 0.551 0.087 0.102
Au 0.678 0.951 0.355
Au 0.322 0.049 0.645
Au 0.678 0.549 0.355
Au 0.322 0.451 0.645